(1)
Density functional theory data (PBE) for a geometry-optimized CaNdTh2As4 structure.

Output
Magnetization, μB per atom: 0.000
E_form, eV/atom: -1.42

POSCAR file:
```
CaNdTh2As4
1.0
4.274 0.000 0.000
0.000 7.400 0.129
0.000 -2.587 6.889
Ca Nd Th As
1 1 2 4
Cartesian
2.137 3.700 0.064
0.000 0.000 0.000
2.137 -1.293 3.444
0.000 2.407 3.509
2.137 1.205 1.779
2.137 3.608 5.239
0.000 -0.091 5.157
0.000 4.904 1.860
```



(2)
Density functional theory data (PBE) for a geometry-optimized ZnSiAg2 structure.

Output
Offset from the most stable computed form, meV per atom: 39.0
Magnetization, μB per atom: 0.000
Raw formation energy, eV/atom: 0.167

POSCAR file:
```
ZnSiAg2
1.0
4.435 0.000 0.000
0.000 2.875 0.247
0.000 0.994 5.300
Ag Si Zn
2 1 1
Cartesian
0.000 3.705 5.411
2.218 1.132 1.522
0.000 2.466 2.808
2.218 2.369 4.127
```



(3)
Density functional theory data (PBE) for a geometry-optimized CoTeAsI2 structure.

Output
Offset from the most stable computed form, meV per atom: 327.9
Magnetization, μB per atom: 0.514
Raw formation energy, eV/atom: 0.908

POSCAR file:
```
CoTeAsI2
1.0
-2.647 4.806 -1.030
-3.616 -1.112 4.105
3.360 2.637 3.674
I As Te Co
2 1 1 1
Cartesian
-1.808 -0.556 2.053
-1.323 2.403 -0.515
0.000 0.000 0.000
1.680 1.319 1.837
-1.451 3.166 3.375
```



(4)
Density functional theory data (PBE) for a geometry-optimized AcPmDy structure.

Output
Offset from the most stable computed form, meV per atom: 8.3
Magnetization, μB per atom: 0.000
E_form, eV/atom: 0.06

POSCAR file:
```
AcPmDy
1.0
-5.728 1.204 -2.991
2.536 -6.027 0.519
-5.814 -1.540 10.513
Ac Pm Dy
4 4 4
Cartesian
-4.938 -0.773 -0.991
-5.335 -2.576 8.772
-2.169 -4.750 3.228
-5.569 -4.627 5.073
-5.605 -6.360 8.325
-2.133 -3.016 -0.024
-8.160 -2.328 3.720
-2.113 -1.022 4.061
0.769 -5.569 1.237
-8.507 -3.807 7.063
-4.913 -2.365 2.285
-5.361 -0.985 5.496
```



(5)
Density functional theory data (PBE) for a geometry-optimized K2RbIBr4 structure.

Output
Magnetization, μB per atom: 0.000
Raw formation energy, eV/atom: -1.283

POSCAR file:
```
K2RbIBr4
1.0
9.866 -0.765 0.076
-0.772 9.865 0.076
-4.382 -4.385 7.143
K Rb I Br
4 2 2 8
Cartesian
4.933 -0.383 0.038
2.742 -2.575 3.610
-2.191 -2.193 3.572
4.547 4.550 0.076
-0.386 4.933 0.038
7.288 1.974 3.685
2.356 2.357 3.648
5.483 -5.151 7.219
-2.030 2.464 7.209
5.374 -0.765 3.658
-0.663 5.479 3.637
6.742 2.251 0.086
7.063 7.281 0.479
4.173 4.389 3.320
0.538 0.325 3.975
-2.352 -2.566 6.816
```



(6)
Density functional theory data (PBE) for a geometry-optimized Zr2ScAl structure.

Output
Magnetization, μB per atom: 0.000
E_form, eV/atom: -0.20

POSCAR file:
```
Zr2ScAl
1.0
3.240 0.000 0.000
0.000 4.253 0.000
0.000 0.000 6.202
Sc Al Zr
1 1 2
Cartesian
1.620 2.127 4.652
1.620 2.127 1.551
0.000 0.000 0.041
0.000 0.000 3.060
```



(7)
Density functional theory data (PBE) for a geometry-optimized ZrCrCu structure.

Output
Offset from the most stable computed form, meV per atom: 101.4
Magnetization, μB per atom: 0.000
E_form, eV/atom: 0.14

POSCAR file:
```
ZrCrCu
1.0
-5.842 2.046 -2.384
-2.022 -2.990 2.388
4.729 2.566 7.217
Cr Cu Zr
4 4 4
Cartesian
1.591 1.373 3.066
-2.703 3.240 1.767
2.944 1.161 7.868
-6.079 0.462 -0.647
-3.943 1.621 -1.309
2.830 2.991 6.142
-2.589 1.409 3.493
-0.545 0.214 3.727
-0.532 1.245 1.108
-0.581 3.367 3.725
0.822 1.033 5.911
-3.956 0.590 1.310
```



(8)
Density functional theory data (PBE) for a geometry-optimized Na2NbTlS4 structure.

Output
Magnetization, μB per atom: 0.000
Raw formation energy, eV/atom: -0.940

POSCAR file:
```
Na2NbTlS4
1.0
-3.239 -4.496 -4.774
6.302 -0.665 -3.652
-0.504 -0.672 6.578
Na Nb Tl S
2 1 1 4
Cartesian
-1.107 -3.870 -1.207
3.664 -1.955 -0.646
1.533 -2.585 -4.209
2.546 -5.790 -1.878
1.261 -3.166 0.085
3.592 -2.935 -3.247
0.134 -4.323 -3.653
0.146 -1.286 3.154
```



(9)
Density functional theory data (PBE) for a geometry-optimized Na2CdF4 structure.

Output
Offset from the most stable computed form, meV per atom: 0.0
Magnetization, μB per atom: 0.000
Raw formation energy, eV/atom: -2.493

POSCAR file:
```
Na2CdF4
1.0
-1.709 -4.067 3.904
5.085 0.937 3.201
-5.482 8.323 6.272
Na F Cd
8 16 4
Cartesian
-1.531 3.826 12.101
1.154 -0.103 4.737
-1.445 5.872 5.590
-2.389 0.790 4.326
-0.575 1.366 1.276
-3.259 5.296 8.640
-0.660 -0.680 7.787
0.283 4.403 9.051
-0.951 1.894 8.856
1.145 3.188 6.677
-4.568 7.336 7.233
0.164 -2.033 3.988
-1.154 3.298 4.521
-3.250 2.005 6.700
2.463 -2.143 6.144
-2.269 7.225 9.389
-3.553 5.155 4.965
-0.682 0.551 5.869
-3.106 3.866 10.407
3.131 0.814 5.513
1.448 0.038 8.412
-1.423 4.641 7.507
1.000 1.327 2.970
-5.236 4.379 7.864
-2.741 4.161 3.136
-1.053 2.596 6.688
2.542 0.468 1.601
-0.854 -2.033 1.952
```



(10)
Density functional theory data (PBE) for a geometry-optimized RbTl2FeCl6 structure.

Output
Magnetization, μB per atom: 0.100
Raw formation energy, eV/atom: -1.014

POSCAR file:
```
RbTl2FeCl6
1.0
7.036 0.000 0.070
0.000 8.073 0.000
0.153 0.000 10.571
Rb Tl Fe Cl
2 4 2 12
Cartesian
3.518 0.000 0.035
0.077 4.037 5.286
0.186 7.677 2.829
3.780 4.432 8.150
7.004 0.396 7.812
3.409 3.641 2.491
3.595 0.000 5.321
0.000 4.037 0.000
1.933 5.258 0.203
5.528 6.851 5.523
5.256 2.815 10.438
1.661 1.222 5.118
2.510 6.205 4.521
6.105 5.904 9.841
4.680 1.868 6.120
1.085 2.169 0.800
6.435 4.614 2.208
2.994 7.496 7.459
0.754 3.459 8.433
4.196 0.577 3.182
```



(11)
Density functional theory data (PBE) for a geometry-optimized NaSr6Rh2 structure.

Output
Offset from the most stable computed form, meV per atom: 0.0
Magnetization, μB per atom: 0.000
E_form, eV/atom: -0.15

POSCAR file:
```
NaSr6Rh2
1.0
9.016 0.289 -3.095
-5.085 7.729 -2.315
-0.158 -0.289 9.531
Na Sr Rh
2 12 4
Cartesian
-2.621 3.720 3.608
0.000 0.000 0.000
2.715 2.368 -0.469
1.058 5.361 4.589
4.324 5.650 -2.683
-0.551 2.079 6.804
-2.115 5.691 6.898
5.888 2.038 -2.777
3.109 5.980 1.047
0.664 1.748 3.073
-2.189 7.549 3.013
5.961 0.180 1.108
4.258 2.597 3.453
-0.485 5.131 0.668
2.438 2.825 5.958
1.335 4.904 -1.837
2.816 0.000 2.046
6.042 0.000 4.390
```



(12)
Density functional theory data (PBE) for a geometry-optimized Sr3UPa2P6 structure.

Output
Magnetization, μB per atom: 0.275
E_form, eV/atom: -1.16

POSCAR file:
```
Sr3UPa2P6
1.0
-3.863 2.100 -5.634
-2.931 -4.220 4.968
0.175 6.302 3.741
Sr U Pa P
3 1 2 6
Cartesian
-2.999 -0.016 5.072
-3.620 4.198 -1.997
-3.309 2.091 1.537
0.000 0.000 0.000
-3.242 -2.113 1.434
-3.552 -0.006 -2.100
-5.189 4.395 0.656
-4.967 -0.209 0.312
-1.430 -0.213 2.419
-4.877 2.278 4.207
-1.652 4.391 2.763
-1.742 1.904 -1.132
```